{
  "formula": "NdDy2Cu",
  "functional": "PBE",
  "state": "relaxed",
  "final_energy_ev_per_atom": -4.49,
  "space_group": "R-3m",
  "lattice": [[3.628, 0.000, 0.000], [-1.814, 3.142, 0.000], [0.000, 0.000, 29.873]],
  "species": ["Nd", "Nd", "Nd", "Dy", "Dy", "Dy", "Dy", "Dy", "Dy", "Cu", "Cu", "Cu"],
  "fractional_positions": [[0.000, 0.000, 0.000], [0.333, 0.667, 0.667], [0.667, 0.333, 0.333], [0.000, 0.000, 0.233], [0.000, 0.000, 0.767], [0.333, 0.667, 0.434], [0.333, 0.667, 0.900], [0.667, 0.333, 0.100], [0.667, 0.333, 0.566], [0.000, 0.000, 0.500], [0.333, 0.667, 0.167], [0.667, 0.333, 0.833]]
}

***

{
  "formula": "In3Te",
  "functional": "PBE",
  "state": "relaxed",
  "e_form_raw_ev_per_atom": -0.020,
  "final_energy_ev_per_atom": -2.86,
  "space_group": "Pm-3n",
  "lattice": [[6.245, 0.000, 0.000], [0.000, 6.245, 0.000], [0.000, 0.000, 6.245]],
  "species": ["In", "In", "In", "In", "In", "In", "Te", "Te"],
  "fractional_positions": [[0.000, 0.250, 0.500], [0.000, 0.750, 0.500], [0.250, 0.500, 0.000], [0.500, 0.000, 0.250], [0.500, 0.000, 0.750], [0.750, 0.500, 0.000], [0.000, 0.000, 0.000], [0.500, 0.500, 0.500]]
}